! Ca4Dy3PuTe8 PBE optimized geometry; values from VASP
&SYSTEM
  ibrav = 0, nat = 16, ntyp = 4
/
ATOMIC_SPECIES
Ca 40.08 Ca.upf
Dy 162.50 Dy.upf
Pu 244.00 Pu.upf
Te 127.60 Te.upf
CELL_PARAMETERS angstrom
4.412 2.548 7.331
-4.412 2.548 7.331
0.000 -5.095 7.331
ATOMIC_POSITIONS crystal
Ca 0.000 0.000 0.000
Ca 0.000 0.500 0.500
Ca 0.500 0.000 0.500
Ca 0.500 0.500 0.000
Dy 0.000 0.000 0.500
Dy 0.000 0.500 0.000
Dy 0.500 0.000 0.000
Pu 0.500 0.500 0.500
Te 0.245 0.751 0.751
Te 0.248 0.248 0.248
Te 0.249 0.249 0.755
Te 0.249 0.755 0.249
Te 0.751 0.245 0.751
Te 0.751 0.751 0.245
Te 0.752 0.752 0.752
Te 0.755 0.249 0.249
! Uncorrected energy: -5.2543 eV/atom
! M_tot: 6.18 μB/cell
! Formation energy (no corrections): -1424 meV/atom
! Crystal system: trigonal